<i>
Entry from Alexandria via LeMat-Bulk: In2SbBr after structural relaxation (PBE).

## Properties
* spin magnetization: 0.00 μB/cell
* crystal system: tetragonal

Cell and atoms, written as POSCAR:
```
In2SbBr
1.0
-4.167 -5.874 -3.230
0.961 -4.287 6.557
-5.488 -3.284 3.408
Sb In Br
2 4 2
direct
0.000 0.000 0.000 Sb
0.750 0.250 0.500 Sb
0.641 0.125 0.250 In
0.875 0.891 0.750 In
0.109 0.625 0.250 In
0.375 0.359 0.750 In
0.250 0.750 0.500 Br
0.500 0.500 0.000 Br
```

=====

<ii>
Entry from Alexandria via LeMat-Bulk: In2SbBr after structural relaxation (PBE).

## Properties
* spin magnetization: 0.00 μB/cell
* crystal system: tetragonal

Cell and atoms, written as POSCAR:
```
In2SbBr
1.0
3.591 0.000 0.000
0.000 3.591 0.000
0.000 0.000 9.005
Sb In Br
1 2 1
direct
0.500 0.500 0.250 Sb
0.000 0.000 0.506 In
0.000 0.000 0.994 In
0.500 0.500 0.750 Br
```

=====

<iii>
Entry from Alexandria via LeMat-Bulk: In2SbBr after structural relaxation (PBE).

## Properties
* spin magnetization: 0.00 μB/cell
* crystal system: orthorhombic

Cell and atoms, written as POSCAR:
```
In2SbBr
1.0
-3.792 1.331 -5.682
-6.291 -2.652 -1.348
4.303 3.734 3.997
Sb In Br
1 2 1
direct
0.750 0.250 0.500 Sb
0.967 0.967 0.000 In
0.533 0.533 0.000 In
0.250 0.750 0.500 Br
```

=====

If we sort the structures by their calculated energies, the order from most to least stable is <ii>, <i>, <iii>.